1.
Density functional theory data (PBE-GGA) for GdPtAu4 after structural relaxation.

```
GdPtAu4
1.0
-4.3417 -1.3468 -3.0909
0.7320 -2.6374 -4.7672
-1.5002 -5.2660 -0.4864
Gd Au Pt
1 4 1
Direct
0.0000 0.0000 0.0000
0.6246 0.6246 0.1261
0.6246 0.1261 0.6246
0.6246 0.6246 0.6246
0.1261 0.6246 0.6246
0.2500 0.2500 0.2500
```

## Properties
DFT formation energy (kJ/mol of formula units): -236.4
Uncorrected energy (eV/atom): -5.947
Total moment (μB per formula unit): 7.1

=====

2.
Density functional theory data (PBE-GGA) for NdSmO2 after structural relaxation.

```
NdSmO2
1.0
3.5105 0.0000 0.0000
1.7553 3.0402 0.0000
1.7553 1.0134 6.0354
Nd Sm O
1 1 2
Direct
0.4949 0.4949 0.5152
0.6726 0.6726 0.9822
0.0773 0.0773 0.7682
0.2552 0.2552 0.2344
```

## Properties
Energy above the lowest structure with this stoichiometry (meV per atom): 115
Uncorrected energy (eV/atom): -7.498
Total moment (μB per formula unit): 0.0